#i
Below is K2AlTl after structural relaxation, with properties calculated at the PBEsol level.

- Calculated density: 3642 kg/m3
- V: 282.3 Å³ per cell
- SG: No. 122

abc: 6.0927 7.4577 7.4577
angles: 80.39 65.89 65.89
Last column: nearest neighbours and their distance in Å.
Sites, in units of the cell vectors:
Tl: 0.7500 0.5000 0.5000  2 Al 3.05
Tl: 0.0000 0.0000 0.0000  2 Al 3.05
K: 0.1298 0.9952 0.4952  2 K 3.05
K: 0.6202 0.0048 0.5048  2 K 3.05
K: 0.3750 0.4952 0.0048  2 K 3.05
K: 0.8750 0.5048 0.9952  2 K 3.05
Al: 0.2500 0.5000 0.5000  2 Tl 3.05
Al: 0.5000 0.0000 0.0000  2 Tl 3.05



#ii
Below is K2AlTl after structural relaxation, with properties calculated at the PBEsol level.

- Calculated density: 3995 kg/m3
- V: 128.7 Å³ per cell
- SG: No. 139

abc: 4.7816 4.7816 6.5653
angles: 111.36 111.36 90.00
Last column: nearest neighbours and their distance in Å.
Sites, in units of the cell vectors:
Tl: 0.5000 0.5000 0.0000  4 Al 3.38, 8 K 3.69
K: 0.7500 0.2500 0.5000  4 K 3.38, 4 Al 3.69, 4 Tl 3.69
K: 0.2500 0.7500 0.5000  4 K 3.38, 4 Tl 3.69, 4 Al 3.69
Al: 0.0000 0.0000 0.0000  4 Tl 3.38, 8 K 3.69



Least stable of them? #i.



#i
Below is K2AlTl after structural relaxation, with properties calculated at the PBEsol level.

- Calculated density: 3994 kg/m3
- V: 128.7 Å³ per cell
- SG: No. 47

abc: 4.5450 4.9988 5.6645
angles: 90.00 90.00 90.00
Last column: nearest neighbours and their distance in Å.
Sites, in units of the cell vectors:
Tl: 0.5000 0.0000 0.5000  4 Al 3.38, 8 K 3.63-3.78
K: 0.0000 0.0000 0.0000  4 K 3.38, 4 Tl 3.63, 4 Al 3.78
K: 0.5000 0.5000 0.0000  4 K 3.38, 4 Al 3.63, 4 Tl 3.78
Al: 0.0000 0.5000 0.5000  4 Tl 3.38, 8 K 3.63-3.78



#ii
Below is K2AlTl after structural relaxation, with properties calculated at the PBEsol level.

- Calculated density: 3556 kg/m3
- V: 144.6 Å³ per cell
- SG: No. 44

abc: 4.7691 6.1219 6.2904
angles: 119.12 112.28 90.00
Last column: nearest neighbours and their distance in Å.
Sites, in units of the cell vectors:
Tl: 0.5651 0.0651 0.1301  2 Al 2.65
K: 0.9715 0.4715 0.9431  4 K 3.59-3.89, 4 Al 3.70-3.74, 4 Tl 3.99
K: 0.7823 0.7823 0.5645  4 K 3.59-3.89, 4 Tl 3.68-3.74, 5 Al 3.95-4.01
Al: 0.1812 0.1812 0.3623  2 Tl 2.65



Least stable of them? #i.



#i
Below is KAl2Tl after structural relaxation, with properties calculated at the PBEsol level.

- Calculated density: 4837 kg/m3
- V: 102.1 Å³ per cell
- SG: No. 6

abc: 3.1597 4.0077 8.0646
angles: 90.00 90.06 90.00
Last column: nearest neighbours and their distance in Å.
Sites, in units of the cell vectors:
Tl: 0.5016 0.5000 0.8030  5 Al 3.00-3.16, 2 Tl 3.16
K: 0.0003 0.0000 0.4886  2 K 3.16
Al: 0.9993 0.0000 0.0328  4 Al 2.80
Al: 0.4988 0.5000 0.1756  4 Al 2.80, 1 Tl 3.00



#ii
Below is KAl2Tl after structural relaxation, with properties calculated at the PBEsol level.

- Calculated density: 4804 kg/m3
- V: 102.8 Å³ per cell
- SG: No. 71

abc: 3.7883 5.1912 6.1370
angles: 115.02 107.98 90.00
Last column: nearest neighbours and their distance in Å.
Sites, in units of the cell vectors:
Tl: 0.0000 0.5000 0.0000  4 Al 3.05, 4 K 3.21
K: 0.5000 0.0000 0.0000  4 Tl 3.21, 8 Al 3.41-3.53
Al: 0.7288 0.7288 0.4576  2 Tl 3.05, 4 Al 3.24, 2 K 3.41
Al: 0.2712 0.2712 0.5424  2 Tl 3.05, 4 Al 3.24, 2 K 3.41



Least stable of them? #ii.



#i
Below is KAl2W after structural relaxation, with properties calculated at the PBEsol level.

- Calculated density: 6345 kg/m3
- V: 72.5 Å³ per cell
- SG: No. 123

abc: 2.7930 5.0937 5.0937
angles: 90.00 90.00 90.00
Last column: nearest neighbours and their distance in Å.
Sites, in units of the cell vectors:
K: 0.5000 0.5000 0.5000  2 K 2.79, 8 Al 2.90
Al: 0.0000 0.0000 0.5000  2 Al 2.79, 4 W 2.90, 4 K 2.90
Al: 0.0000 0.5000 0.0000  2 Al 2.79, 4 K 2.90, 4 W 2.90
W: 0.5000 0.0000 0.0000  2 W 2.79, 8 Al 2.90



#ii
Below is KAl2W after structural relaxation, with properties calculated at the PBEsol level.

- Calculated density: 4967 kg/m3
- V: 92.6 Å³ per cell
- SG: No. 71

abc: 2.6500 6.1708 6.5820
angles: 117.95 101.61 90.00
Last column: nearest neighbours and their distance in Å.
Sites, in units of the cell vectors:
K: 0.0000 0.5000 0.0000  2 K 2.65
Al: 0.7949 0.7949 0.5898  2 Al 2.65, 2 W 2.67
Al: 0.2051 0.2051 0.4102  2 Al 2.65, 2 W 2.67
W: 0.5000 0.0000 0.0000  2 W 2.65, 4 Al 2.67



Least stable of them? #ii.



#i
Below is KAl2W after structural relaxation, with properties calculated at the PBEsol level.

- Calculated density: 6140 kg/m3
- V: 74.9 Å³ per cell
- SG: No. 216

abc: 4.7312 4.7312 4.7312
angles: 60.00 60.00 60.00
Last column: nearest neighbours and their distance in Å.
Sites, in units of the cell vectors:
K: 0.5000 0.5000 0.5000  4 W 2.90, 4 Al 2.90
Al: 0.0000 0.0000 0.0000  4 W 2.90, 4 Al 2.90
Al: 0.7500 0.7500 0.7500  4 K 2.90, 4 Al 2.90
W: 0.2500 0.2500 0.2500  4 K 2.90, 4 Al 2.90



#ii
Below is KAl2W after structural relaxation, with properties calculated at the PBEsol level.

- Calculated density: 6120 kg/m3
- V: 75.1 Å³ per cell
- SG: No. 8

abc: 2.9158 2.9158 10.5477
angles: 83.35 83.35 57.69
Last column: nearest neighbours and their distance in Å.
Sites, in units of the cell vectors:
K: 0.4880 0.4880 0.5000  6 K 2.81-2.92
Al: 0.0066 0.0066 0.0044  3 W 2.72-2.73, 9 Al 2.81-2.92
Al: 0.7276 0.7276 0.7851  9 Al 2.81-2.92
W: 0.2780 0.2780 0.2105  3 Al 2.72-2.73, 6 W 2.81-2.92



Least stable of them? #i.



#i
Below is La5Al after structural relaxation, with properties calculated at the PBEsol level.

- Calculated density: 6163 kg/m3
- V: 194.4 Å³ per cell
- SG: No. 191

abc: 5.7949 6.2240 6.2240
angles: 120.00 90.00 90.00
Last column: nearest neighbours and their distance in Å.
Sites, in units of the cell vectors:
Al: 0.0000 0.0000 0.0000  6 La 3.59
La: 0.0000 0.6667 0.3333  9 La 3.41-3.59, 3 Al 3.59
La: 0.0000 0.3333 0.6667  9 La 3.41-3.59, 3 Al 3.59
La: 0.5000 0.5000 0.5000  8 La 3.11-3.41
La: 0.5000 0.0000 0.5000  8 La 3.11-3.41
La: 0.5000 0.5000 0.0000  8 La 3.11-3.41



#ii
Below is La5Al after structural relaxation, with properties calculated at the PBEsol level.

- Calculated density: 6619 kg/m3
- V: 181.0 Å³ per cell
- SG: No. 189

abc: 5.6633 6.0750 6.0750
angles: 120.00 90.00 90.00
Last column: nearest neighbours and their distance in Å.
Sites, in units of the cell vectors:
Al: 0.5000 0.0000 0.0000  12 La 3.39-3.51
La: 0.0000 0.3055 0.3055  6 La 3.21-3.53, 2 Al 3.39
La: 0.0000 0.6945 0.0000  6 La 3.21-3.53, 2 Al 3.39
La: 0.0000 0.0000 0.6945  6 La 3.21-3.53, 2 Al 3.39
La: 0.5000 0.3333 0.6667  3 Al 3.51, 9 La 3.51-3.53
La: 0.5000 0.6667 0.3333  3 Al 3.51, 9 La 3.51-3.53



#iii
Below is La5Al after structural relaxation, with properties calculated at the PBEsol level.

- Calculated density: 5940 kg/m3
- V: 201.7 Å³ per cell
- SG: No. 8

abc: 3.7864 6.7086 8.6979
angles: 107.16 90.00 106.39
Last column: nearest neighbours and their distance in Å.
Sites, in units of the cell vectors:
Al: 0.0035 0.0069 0.0111  8 La 3.24-3.51
La: 0.6725 0.3449 0.3301  4 La 3.35-3.71, 2 Al 3.51
La: 0.3488 0.6977 0.7204  2 Al 3.29, 3 La 3.62-3.65
La: 0.3993 0.7985 0.2283  2 Al 3.24, 3 La 3.35-3.57
La: 0.0507 0.1014 0.5989  11 La 3.54-3.79, 1 Al 3.82
La: 0.6919 0.3839 0.9445  2 Al 3.27, 5 La 3.44-3.57



Least stable of them? #i.



#i
Below is LaAlNi4 after structural relaxation, with properties calculated at the PBEsol level.

- Calculated density: 7756 kg/m3
- V: 85.8 Å³ per cell
- SG: No. 65

abc: 4.0090 4.9167 4.9167
angles: 117.74 90.00 90.00
Last column: nearest neighbours and their distance in Å.
Sites, in units of the cell vectors:
Ni: 0.0000 0.1707 0.8293  4 Ni 2.47, 2 Al 2.47
Ni: 0.0000 0.8293 0.1707  4 Ni 2.47, 2 Al 2.47
Ni: 0.5000 0.0000 0.5000  2 Al 2.46, 6 Ni 2.47-2.54
Ni: 0.5000 0.5000 0.0000  2 Al 2.46, 6 Ni 2.47-2.54
Al: 0.5000 0.0000 0.0000  8 Ni 2.46-2.47
La: 0.0000 0.5000 0.5000  6 Ni 2.77-2.92



#ii
Below is LaAlNi4 after structural relaxation, with properties calculated at the PBEsol level.

- Calculated density: 7694 kg/m3
- V: 86.5 Å³ per cell
- SG: No. 187

abc: 3.8227 5.1108 5.1108
angles: 120.00 90.00 90.00
Last column: nearest neighbours and their distance in Å.
Sites, in units of the cell vectors:
Ni: 0.0000 0.3333 0.6667  6 Ni 2.40
Ni: 0.5000 0.0055 0.5028  6 Ni 2.40-2.60, 2 Al 2.43
Ni: 0.5000 0.4972 0.9945  6 Ni 2.40-2.60, 2 Al 2.43
Ni: 0.5000 0.4972 0.5028  6 Ni 2.40-2.60, 2 Al 2.43
Al: 0.0000 0.6667 0.3333  6 Ni 2.43
La: 0.0000 0.0000 0.0000  15 Ni 2.95-3.19, 3 Al 2.95



Least stable of them? #ii.



#i
Below is Sr3LaTaAl3O12 after structural relaxation, with properties calculated at the PBEsol level.

- Calculated density: 6227 kg/m3
- V: 228.2 Å³ per cell
- SG: No. 38

abc: 3.8802 7.6684 7.6684
angles: 89.80 90.00 90.00
Last column: nearest neighbours and their distance in Å.
Sites, in units of the cell vectors:
Sr: 0.0000 0.7357 0.7357  12 O 2.61-2.91
Sr: 0.0000 0.2615 0.7400  12 O 2.59-2.82
Sr: 0.0000 0.7400 0.2615  12 O 2.59-2.82
La: 0.0000 0.2638 0.2638  11 O 2.51-2.78
Ta: 0.5000 0.9970 0.9970  6 O 1.94-1.97
Al: 0.5000 0.4991 0.9991  6 O 1.88-1.94
Al: 0.5000 0.9991 0.4991  6 O 1.88-1.94
Al: 0.5000 0.5020 0.5020  6 O 1.90-1.94
O: 0.0000 0.4939 0.0075  2 Al 1.94
O: 0.0000 0.0034 0.0034  2 Ta 1.94
O: 0.0000 0.4952 0.4952  2 Al 1.94
O: 0.0000 0.0075 0.4939  2 Al 1.94
O: 0.5000 0.0016 0.7442  1 Al 1.88, 1 Ta 1.94
O: 0.5000 0.4984 0.7499  2 Al 1.90-1.91
O: 0.5000 0.0052 0.2535  1 Al 1.88, 1 Ta 1.97
O: 0.5000 0.4923 0.2512  2 Al 1.93
O: 0.5000 0.7442 0.0016  1 Al 1.88, 1 Ta 1.94
O: 0.5000 0.2535 0.0052  1 Al 1.88, 1 Ta 1.97
O: 0.5000 0.7499 0.4984  2 Al 1.90-1.91
O: 0.5000 0.2512 0.4923  2 Al 1.93



#ii
Below is Sr3LaTaAl3O12 after structural relaxation, with properties calculated at the PBEsol level.

- Calculated density: 6259 kg/m3
- V: 454.0 Å³ per cell
- SG: No. 65

abc: 7.6756 7.6756 7.7066
angles: 90.00 90.00 90.22
Last column: nearest neighbours and their distance in Å.
Sites, in units of the cell vectors:
Sr: 0.5000 0.0000 0.2632  12 O 2.64-2.82
Sr: 0.5000 0.0000 0.7368  12 O 2.64-2.82
Sr: 0.0000 0.5000 0.2632  12 O 2.64-2.82
Sr: 0.0000 0.0000 0.2644  12 O 2.65-2.81
Sr: 0.0000 0.5000 0.7368  12 O 2.64-2.82
Sr: 0.0000 0.0000 0.7356  12 O 2.65-2.81
La: 0.5000 0.5000 0.2620  12 O 2.61-2.76
La: 0.5000 0.5000 0.7380  12 O 2.61-2.76
Ta: 0.7533 0.2467 0.0000  6 O 1.94-1.98
Ta: 0.2467 0.7533 0.0000  6 O 1.94-1.98
Al: 0.7490 0.7490 0.0000  6 O 1.88-1.93
Al: 0.7518 0.2482 0.5000  6 O 1.88-1.93
Al: 0.7510 0.7510 0.5000  6 O 1.91-1.94
Al: 0.2510 0.2510 0.0000  6 O 1.88-1.93
Al: 0.2490 0.2490 0.5000  6 O 1.91-1.94
Al: 0.2482 0.7518 0.5000  6 O 1.88-1.93
O: 0.5040 0.7442 0.0000  1 Al 1.88, 1 Ta 1.98
O: 0.4960 0.2558 0.0000  1 Al 1.88, 1 Ta 1.98
O: 0.4988 0.7419 0.5000  2 Al 1.93-1.94
O: 0.5012 0.2581 0.5000  2 Al 1.93-1.94
O: 0.9936 0.7485 0.0000  1 Al 1.88, 1 Ta 1.94
O: 0.0064 0.2515 0.0000  1 Al 1.88, 1 Ta 1.94
O: 0.0002 0.7484 0.5000  2 Al 1.90-1.91
O: 0.9998 0.2516 0.5000  2 Al 1.90-1.91
O: 0.7464 0.2536 0.2558  1 Al 1.88, 1 Ta 1.97
O: 0.7432 0.7432 0.2504  2 Al 1.93
O: 0.7464 0.2536 0.7442  1 Al 1.88, 1 Ta 1.97
O: 0.7432 0.7432 0.7496  2 Al 1.93
O: 0.2568 0.2568 0.2504  2 Al 1.93
O: 0.2536 0.7464 0.2558  1 Al 1.88, 1 Ta 1.97
O: 0.2568 0.2568 0.7496  2 Al 1.93
O: 0.2536 0.7464 0.7442  1 Al 1.88, 1 Ta 1.97
O: 0.7442 0.5040 0.0000  1 Al 1.88, 1 Ta 1.98
O: 0.7485 0.9936 0.0000  1 Al 1.88, 1 Ta 1.94
O: 0.7419 0.4988 0.5000  2 Al 1.93-1.94
O: 0.7484 0.0002 0.5000  2 Al 1.90-1.91
O: 0.2558 0.4960 0.0000  1 Al 1.88, 1 Ta 1.98
O: 0.2515 0.0064 0.0000  1 Al 1.88, 1 Ta 1.94
O: 0.2581 0.5012 0.5000  2 Al 1.93-1.94
O: 0.2516 0.9998 0.5000  2 Al 1.90-1.91



Least stable of them? #i.